First-principles (PBE) data for MgSnOF2 after structural relaxation, as listed in Alexandria. Values from VASP.

Properties
Energy above the most stable polymorph in this dataset   80.7 kJ/mol of atoms
ΔE_f (raw)   -1490 meV/atom

Geometry as Quantum ESPRESSO input:
```
&SYSTEM
  ibrav = 0, nat = 5, ntyp = 4
/
ATOMIC_SPECIES
Mg 24.30 Mg.upf
Sn 118.71 Sn.upf
O 16.00 O.upf
F 19.00 F.upf
CELL_PARAMETERS angstrom
4.5451 0.0000 0.0000
0.0000 4.5451 0.0000
0.0000 0.0000 4.1689
ATOMIC_POSITIONS angstrom
Mg 0.0000 0.0000 0.0000
Sn 2.2725 2.2725 2.0845
O 2.2725 2.2725 0.0000
F 0.0000 2.2725 2.0845
F 2.2725 0.0000 2.0845
```